This record from Alexandria describes a relaxed structure of LaPmSmSe3. The functional is PBE-GGA.

Computed properties:
E_form (uncorrected) = -1.829 eV per atom
total DFT energy (no corrections) = -5.971 eV/atom

Unit cell a=7.342 b=4.116 c=10.992 alpha=90.00 beta=102.74 gamma=90.00
Space group P2_1/m (No. 11)
Unique sites:
La  0.157  0.250  0.196 [2 per cell]
Pm  0.267  0.750  0.557 [2 per cell]
Sm  0.378  0.250  0.870 [2 per cell]
Se  0.047  0.250  0.665 [2 per cell]
Se  0.219  0.750  0.002 [2 per cell]
Se  0.444  0.750  0.342 [2 per cell]

This record from Alexandria describes a relaxed structure of La2PmSm3Se6. The functional is PBE-GGA.

Computed properties:
E_form (uncorrected) = -1.883 eV per atom
total DFT energy (no corrections) = -6.022 eV/atom

Unit cell a=18.402 b=4.209 c=8.487 alpha=90.00 beta=103.48 gamma=90.00
Space group C2/m (No. 12)
Unique sites:
La  0.166  0.000  0.332 [4 per cell]
Pm  0.000  0.500  0.000 [2 per cell]
Sm  0.000  0.500  0.500 [2 per cell]
Sm  0.167  0.000  0.834 [4 per cell]
Se  0.003  0.000  0.750 [4 per cell]
Se  0.165  0.500  0.589 [4 per cell]
Se  0.167  0.500  0.077 [4 per cell]

This record from Alexandria describes a relaxed structure of LaPm2Sm3Se6. The functional is PBE-GGA.

Computed properties:
E_form (uncorrected) = -1.857 eV per atom
total DFT energy (no corrections) = -5.981 eV/atom

Unit cell a=7.258 b=12.635 c=7.291 alpha=90.00 beta=109.49 gamma=90.00
Space group C2/m (No. 12)
Unique sites:
La  0.000  0.000  0.000 [2 per cell]
Pm  0.000  0.332  0.000 [4 per cell]
Sm  0.000  0.166  0.500 [4 per cell]
Sm  0.000  0.500  0.500 [2 per cell]
Se  0.246  0.332  0.745 [8 per cell]
Se  0.247  0.500  0.253 [4 per cell]

This record from Alexandria describes a relaxed structure of LaPm3Sm2Se6. The functional is PBE-GGA.

Computed properties:
E_form (uncorrected) = -1.859 eV per atom
total DFT energy (no corrections) = -5.986 eV/atom

Unit cell a=7.270 b=12.654 c=7.291 alpha=90.00 beta=109.53 gamma=90.00
Space group C2/m (No. 12)
Unique sites:
La  0.000  0.000  0.000 [2 per cell]
Pm  0.000  0.165  0.500 [4 per cell]
Pm  0.000  0.500  0.500 [2 per cell]
Sm  0.000  0.333  0.000 [4 per cell]
Se  0.244  0.500  0.249 [4 per cell]
Se  0.246  0.331  0.748 [8 per cell]

This record from Alexandria describes a relaxed structure of LaPm2SmSe4. The functional is PBE-GGA.

Computed properties:
E_form (uncorrected) = -1.870 eV per atom
total DFT energy (no corrections) = -6.006 eV/atom

Unit cell a=7.317 b=4.183 c=7.348 alpha=90.00 beta=109.04 gamma=90.00
Space group P2/m (No. 10)
Unique sites:
La  0.000  0.000  0.000 [1 per cell]
Pm  0.500  0.000  0.500 [1 per cell]
Pm  0.500  0.500  0.000 [1 per cell]
Sm  0.000  0.500  0.500 [1 per cell]
Se  0.251  0.000  0.746 [2 per cell]
Se  0.254  0.500  0.256 [2 per cell]

This record from Alexandria describes a relaxed structure of La3PmSm2Se6. The functional is PBE-GGA.

Computed properties:
E_form (uncorrected) = -1.919 eV per atom
total DFT energy (no corrections) = -6.075 eV/atom

Unit cell a=7.340 b=12.755 c=7.359 alpha=90.00 beta=109.51 gamma=90.00
Space group C2/m (No. 12)
Unique sites:
La  0.000  0.000  0.000 [2 per cell]
La  0.000  0.334  0.000 [4 per cell]
Pm  0.000  0.500  0.500 [2 per cell]
Sm  0.000  0.167  0.500 [4 per cell]
Se  0.246  0.000  0.741 [4 per cell]
Se  0.248  0.333  0.741 [8 per cell]

This record from Alexandria describes a relaxed structure of LaPmSm2Se4. The functional is PBE-GGA.

Computed properties:
E_form (uncorrected) = -1.867 eV per atom
total DFT energy (no corrections) = -5.999 eV/atom

Unit cell a=7.315 b=4.174 c=7.333 alpha=90.00 beta=109.01 gamma=90.00
Space group P2/m (No. 10)
Unique sites:
La  0.000  0.000  0.000 [1 per cell]
Pm  0.500  0.500  0.000 [1 per cell]
Sm  0.000  0.500  0.500 [1 per cell]
Sm  0.500  0.000  0.500 [1 per cell]
Se  0.252  0.000  0.745 [2 per cell]
Se  0.256  0.500  0.257 [2 per cell]

This record from Alexandria describes a relaxed structure of LaPm4Sm3Se8. The functional is PBE-GGA.

Computed properties:
E_form (uncorrected) = -1.844 eV per atom
total DFT energy (no corrections) = -5.966 eV/atom

Unit cell a=8.4098 b=8.4098 c=20.5893 alpha=90.00 beta=90.00 gamma=120.00
Space group R-3m (No. 166, hexagonal axes)
Unique sites:
La  0.0000  0.0000  0.0000 [3 per cell]
Pm  0.0000  0.0000  0.5000 [3 per cell]
Pm  0.0000  0.5000  0.5000 [9 per cell]
Sm  0.0000  0.5000  0.0000 [9 per cell]
Se  0.0000  0.0000  0.2508 [6 per cell]
Se  0.0043  0.5021  0.2497 [18 per cell]